1.
The following is a DFT calculation (GGA-PBE) of a relaxed structure of LiBeIrW.

The structure in CIF format:
```
data_LiBeIrW
_cell_length_a 5.758
_cell_length_b 5.758
_cell_length_c 5.758
_cell_angle_alpha 90.00
_cell_angle_beta 90.00
_cell_angle_gamma 90.00
_space_group_name_H-M_alt 'F -4 3 m'
_space_group_IT_number 216
_space_group_name_Hall 'F -4 2 3'
loop_
_atom_site_label
_atom_site_fract_x
_atom_site_fract_y
_atom_site_fract_z
_atom_site_occupancy
Li1 0.000 0.000 0.000 1
Be1 0.000 0.000 0.500 1
Ir1 0.250 0.250 0.750 1
W1 0.250 0.250 0.250 1
```

Results
Excess energy over the best structure of this formula in the dataset ... 437 meV per atom
Theoretical density ... 13.637 g/cm³
Magnetization ... 2.1 μB per cell

2.
The following is a DFT calculation (GGA-PBE) of a relaxed structure of Pr2Nd2C2Br5.

The structure in CIF format:
```
data_Pr2Nd2C2Br5
_cell_length_a 19.570
_cell_length_b 3.964
_cell_length_c 8.314
_cell_angle_alpha 90.00
_cell_angle_beta 104.78
_cell_angle_gamma 90.00
_space_group_name_H-M_alt 'C 1 2/m 1'
_space_group_IT_number 12
_space_group_name_Hall '-C 2y'
loop_
_atom_site_label
_atom_site_fract_x
_atom_site_fract_y
_atom_site_fract_z
_atom_site_occupancy
Pr1 0.000 0.000 0.203 1
Nd1 0.156 0.500 0.103 1
C1 0.037 0.500 0.024 1
Br1 0.000 0.500 0.500 1
Br2 0.161 0.000 0.369 1
Br3 0.168 0.000 0.836 1
```

Results
Excess energy over the best structure of this formula in the dataset ... 0 meV per atom
Theoretical density ... 5.293 g/cm³
Magnetization ... 0.0 μB per cell